Record 1
PrAlF PBE-GGA optimized geometry; D(E_F) = 3.28 states/eV per cell; symmetry = P4/nmm (129); calculated density = 5.47 g/cm³; crystal system = tetragonal; formation energy from raw total energies = -166 kJ per mole of atoms
1.0
3.4301 0.0000 0.0000
0.0000 3.4301 0.0000
0.0000 0.0000 9.6362
Pr Al F
2 2 2
direct
0.2500 0.2500 0.1943
0.7500 0.7500 0.8057
0.2500 0.2500 0.5726
0.7500 0.7500 0.4274
0.2500 0.2500 0.9304
0.7500 0.7500 0.0696


Record 2
Cs3ThF8 PBE-GGA optimized geometry; D(E_F) = 13.92 states/eV per cell; symmetry = I4/mmm (139); calculated density = 4.47 g/cm³; crystal system = tetragonal; formation energy from raw total energies = -305 kJ per mole of atoms
1.0
-3.3312 3.3312 6.5577
3.3312 -3.3312 6.5577
3.3312 3.3312 -6.5577
Cs Th F
3 1 8
direct
0.0000 0.0000 0.0000
0.2500 0.7500 0.5000
0.7500 0.2500 0.5000
0.5000 0.5000 0.0000
0.1925 0.1925 0.5927
0.1925 0.5999 0.0000
0.4001 0.4001 0.5927
0.4001 0.8075 0.0000
0.5999 0.1925 0.0000
0.5999 0.5999 0.4073
0.8075 0.4001 0.0000
0.8075 0.8075 0.4073


> Among the records above, which one has the highest calculated density?

PrAlF